Record 1
VASP calculation (GGA-PBE) on crystalline TcHgIr2 at its relaxed geometry.

Cell lengths 4.8477, 4.8477, 4.9626 Å; angles 99.62, 99.62, 33.87 degrees
Positions (direct):
Tc: 0.0000 0.0000 0.0000
Hg: 0.2388 0.2388 0.7033
Ir: 0.4802 0.4802 0.4500
Ir: 0.7387 0.7387 0.1941

Results
- M_tot (μB per atom) = 0.00
- DOS(E_F) (states/eV/f.u.) = 4.82
- ΔE_f (meV/atom) = 358

Record 2
VASP calculation (GGA-PBE) on crystalline Tc2HgIr at its relaxed geometry.

Cell lengths 4.8591, 4.8591, 4.9624 Å; angles 100.00, 100.00, 33.75 degrees
Positions (direct):
Tc: 0.0000 0.0000 0.0000
Tc: 0.7409 0.7409 0.2018
Hg: 0.2377 0.2377 0.7079
Ir: 0.4765 0.4765 0.4404

Results
- M_tot (μB per atom) = 0.00
- DOS(E_F) (states/eV/f.u.) = 4.88
- ΔE_f (meV/atom) = 369

Record 3
VASP calculation (GGA-PBE) on crystalline TcHgIr at its relaxed geometry.

Cell lengths 6.4345, 6.4345, 6.4345 Å; angles 154.34, 154.34, 36.61 degrees
Positions (direct):
Tc: 0.0000 0.0000 0.0000
Hg: 0.3183 0.3183 0.0000
Ir: 0.6343 0.6343 0.0000

Results
- M_tot (μB per atom) = 0.06
- E above lowest polymorph (meV/atom) = 0
- DOS(E_F) (states/eV/f.u.) = 2.66
- ΔE_f (meV/atom) = 214